# CeDy5Cu4

A relaxed structure of CeDy5Cu4 (PBE, the Alexandria database).

Unit cell a=3.4529 b=3.4529 c=19.1017 alpha=90.00 beta=90.00 gamma=90.00
Space group P4/mmm (No. 123)
Inequivalent atoms, fractional coordinates:
Ce 0.0000 0.0000 0.0000 [1 per cell]
Dy 0.5000 0.5000 0.1351 [2 per cell]
Dy 0.5000 0.5000 0.3165 [2 per cell]
Dy 0.5000 0.5000 0.5000 [1 per cell]
Cu 0.0000 0.0000 0.2249 [2 per cell]
Cu 0.0000 0.0000 0.4086 [2 per cell]

Total magnetic moment   1.0 Bohr magnetons per cell
Calculated volume   227.7 Å³/cell
Calculated density   8.80 g cm⁻³
E_form   -183.9 meV per atom